Entry 1:
This record from Alexandria via LeMat-Bulk describes a relaxed GaPd3F crystal. The functional is PBE.

Geometry as CIF:
```
data_GaPd3F
_symmetry_space_group_name_H-M 'P m -3 m'
_symmetry_Int_Tables_number 221
_symmetry_space_group_name_Hall '-P 4 2 3'
_cell_length_a 4.686
_cell_length_b 4.686
_cell_length_c 4.686
_cell_angle_alpha 90.00
_cell_angle_beta 90.00
_cell_angle_gamma 90.00
loop_
_atom_site_label
_atom_site_fract_x
_atom_site_fract_y
_atom_site_fract_z
Ga1 0.000 0.000 0.000
Pd1 0.000 0.000 0.500
F1 0.500 0.500 0.500
```

Output
excess energy over the best structure of this formula in the dataset	118	meV per atom
formation energy (no corrections)	0.23	eV/atom

=====

Entry 2:
This record from Alexandria via LeMat-Bulk describes a relaxed Pm2Zn2GaRh5 crystal. The functional is PBE.

Geometry as CIF:
```
data_Pm2Zn2GaRh5
_symmetry_space_group_name_H-M 'P 4/m b m'
_symmetry_Int_Tables_number 127
_symmetry_space_group_name_Hall '-P 4 2ab'
_cell_length_a 9.786
_cell_length_b 9.786
_cell_length_c 3.580
_cell_angle_alpha 90.00
_cell_angle_beta 90.00
_cell_angle_gamma 90.00
loop_
_atom_site_label
_atom_site_fract_x
_atom_site_fract_y
_atom_site_fract_z
Pm1 0.174 0.326 0.000
Zn1 0.126 0.626 0.000
Ga1 0.000 0.000 0.000
Rh1 0.000 0.500 0.500
Rh2 0.062 0.801 0.500
```

Output
calculated formation energy	-580	meV per atom

=====

Entry 3:
This record from Alexandria via LeMat-Bulk describes a relaxed CsGaHgAu2 crystal. The functional is PBE.

Geometry as CIF:
```
data_CsGaHgAu2
_symmetry_space_group_name_H-M 'P 4/m m m'
_symmetry_Int_Tables_number 123
_symmetry_space_group_name_Hall '-P 4 2'
_cell_length_a 5.178
_cell_length_b 5.178
_cell_length_c 5.577
_cell_angle_alpha 90.00
_cell_angle_beta 90.00
_cell_angle_gamma 90.00
loop_
_atom_site_label
_atom_site_fract_x
_atom_site_fract_y
_atom_site_fract_z
Cs1 0.000 0.000 0.000
Ga1 0.500 0.500 0.500
Hg1 0.500 0.500 0.000
Au1 0.000 0.500 0.500
```

Output
calculated formation energy	-186	meV per atom

=====

Entry 4:
This record from Alexandria via LeMat-Bulk describes a relaxed GdTmNiPd crystal. The functional is PBE.

Geometry as CIF:
```
data_GdTmNiPd
_symmetry_space_group_name_H-M 'F -4 3 m'
_symmetry_Int_Tables_number 216
_symmetry_space_group_name_Hall 'F -4 2 3'
_cell_length_a 6.899
_cell_length_b 6.899
_cell_length_c 6.899
_cell_angle_alpha 90.00
_cell_angle_beta 90.00
_cell_angle_gamma 90.00
loop_
_atom_site_label
_atom_site_fract_x
_atom_site_fract_y
_atom_site_fract_z
Gd1 0.000 0.000 0.000
Tm1 0.000 0.000 0.500
Ni1 0.250 0.250 0.250
Pd1 0.250 0.250 0.750
```

Output
calculated formation energy	-619	meV per atom

=====

Entry 5:
This record from Alexandria via LeMat-Bulk describes a relaxed La2Sn8Au crystal. The functional is PBE.

Geometry as CIF:
```
data_La2Sn8Au
_symmetry_space_group_name_H-M 'P 4/m m m'
_symmetry_Int_Tables_number 123
_symmetry_space_group_name_Hall '-P 4 2'
_cell_length_a 4.821
_cell_length_b 4.821
_cell_length_c 13.088
_cell_angle_alpha 90.00
_cell_angle_beta 90.00
_cell_angle_gamma 90.00
loop_
_atom_site_label
_atom_site_fract_x
_atom_site_fract_y
_atom_site_fract_z
La1 0.000 0.000 0.175
Sn1 0.000 0.500 0.000
Sn2 0.000 0.500 0.370
Sn3 0.500 0.500 0.186
Au1 0.000 0.000 0.500
```

Output
calculated formation energy	-383	meV per atom

=====

Entry 6:
This record from Alexandria via LeMat-Bulk describes a relaxed LuScRe4 crystal. The functional is PBE.

Geometry as CIF:
```
data_LuScRe4
_symmetry_space_group_name_H-M 'F -4 3 m'
_symmetry_Int_Tables_number 216
_symmetry_space_group_name_Hall 'F -4 2 3'
_cell_length_a 7.531
_cell_length_b 7.531
_cell_length_c 7.531
_cell_angle_alpha 90.00
_cell_angle_beta 90.00
_cell_angle_gamma 90.00
loop_
_atom_site_label
_atom_site_fract_x
_atom_site_fract_y
_atom_site_fract_z
Lu1 0.000 0.000 0.000
Sc1 0.250 0.250 0.250
Re1 0.125 0.125 0.625
```

Output
calculated formation energy	-278	meV per atom

=====

Entry 7:
This record from Alexandria via LeMat-Bulk describes a relaxed NdTm2Zn crystal. The functional is PBE.

Geometry as CIF:
```
data_NdTm2Zn
_symmetry_space_group_name_H-M 'R -3 m'
_symmetry_Int_Tables_number 166
_symmetry_space_group_name_Hall '-R 3 2"'
_cell_length_a 3.5542
_cell_length_b 3.5542
_cell_length_c 30.8323
_cell_angle_alpha 90.00
_cell_angle_beta 90.00
_cell_angle_gamma 120.00
loop_
_atom_site_label
_atom_site_fract_x
_atom_site_fract_y
_atom_site_fract_z
Nd1 0.0000 0.0000 0.0000
Tm1 0.0000 0.0000 0.2379
Zn1 0.0000 0.0000 0.5000
```

Output
calculated formation energy	-77	meV per atom
excess energy over the best structure of this formula in the dataset	94	meV per atom

=====

Entry 8:
This record from Alexandria via LeMat-Bulk describes a relaxed Ta2SnTeN crystal. The functional is PBE.

Geometry as CIF:
```
data_Ta2SnTeN
_symmetry_space_group_name_H-M 'P 4/m m m'
_symmetry_Int_Tables_number 123
_symmetry_space_group_name_Hall '-P 4 2'
_cell_length_a 5.155
_cell_length_b 5.155
_cell_length_c 5.372
_cell_angle_alpha 90.00
_cell_angle_beta 90.00
_cell_angle_gamma 90.00
loop_
_atom_site_label
_atom_site_fract_x
_atom_site_fract_y
_atom_site_fract_z
Ta1 0.000 0.500 0.000
Sn1 0.000 0.000 0.000
Te1 0.000 0.000 0.500
N1 0.500 0.500 0.500
```

Output
formation energy (no corrections)	3.03	eV/atom

=====

Entry 9:
This record from Alexandria via LeMat-Bulk describes a relaxed BaLi2Ti2 crystal. The functional is PBE.

Geometry as CIF:
```
data_BaLi2Ti2
_symmetry_space_group_name_H-M 'P 4/m b m'
_symmetry_Int_Tables_number 127
_symmetry_space_group_name_Hall '-P 4 2ab'
_cell_length_a 8.866
_cell_length_b 8.866
_cell_length_c 3.115
_cell_angle_alpha 90.00
_cell_angle_beta 90.00
_cell_angle_gamma 90.00
loop_
_atom_site_label
_atom_site_fract_x
_atom_site_fract_y
_atom_site_fract_z
Ba1 0.000 0.000 0.000
Li1 0.180 0.320 0.000
Ti1 0.102 0.602 0.500
```

Output
calculated formation energy	616	meV per atom
excess energy over the best structure of this formula in the dataset	100	meV per atom

=====

Entry 10:
This record from Alexandria via LeMat-Bulk describes a relaxed Y2Ta2Pt crystal. The functional is PBE.

Geometry as CIF:
```
data_Y2Ta2Pt
_symmetry_space_group_name_H-M 'I 4/m m m'
_symmetry_Int_Tables_number 139
_symmetry_space_group_name_Hall '-I 4 2'
_cell_length_a 3.703
_cell_length_b 3.703
_cell_length_c 17.621
_cell_angle_alpha 90.00
_cell_angle_beta 90.00
_cell_angle_gamma 90.00
loop_
_atom_site_label
_atom_site_fract_x
_atom_site_fract_y
_atom_site_fract_z
Y1 0.000 0.000 0.094
Ta1 0.000 0.500 0.250
Pt1 0.000 0.000 0.500
```

Output
calculated formation energy	74	meV per atom
excess energy over the best structure of this formula in the dataset	0	meV per atom

=====

Entry 11:
This record from Alexandria via LeMat-Bulk describes a relaxed Tc2TeCl crystal. The functional is PBE.

Geometry as CIF:
```
data_Tc2TeCl
_symmetry_space_group_name_H-M 'F -4 3 m'
_symmetry_Int_Tables_number 216
_symmetry_space_group_name_Hall 'F -4 2 3'
_cell_length_a 6.562
_cell_length_b 6.562
_cell_length_c 6.562
_cell_angle_alpha 90.00
_cell_angle_beta 90.00
_cell_angle_gamma 90.00
loop_
_atom_site_label
_atom_site_fract_x
_atom_site_fract_y
_atom_site_fract_z
Tc1 0.000 0.000 0.000
Tc2 0.250 0.250 0.250
Te1 0.250 0.250 0.750
Cl1 0.000 0.000 0.500
```

Output
excess energy over the best structure of this formula in the dataset	888	meV per atom
formation energy (no corrections)	0.86	eV/atom

=====

Entry 12:
This record from Alexandria via LeMat-Bulk describes a relaxed La2MnZnN crystal. The functional is PBE.

Geometry as CIF:
```
data_La2MnZnN
_symmetry_space_group_name_H-M 'P 4/m m m'
_symmetry_Int_Tables_number 123
_symmetry_space_group_name_Hall '-P 4 2'
_cell_length_a 5.272
_cell_length_b 5.272
_cell_length_c 3.668
_cell_angle_alpha 90.00
_cell_angle_beta 90.00
_cell_angle_gamma 90.00
loop_
_atom_site_label
_atom_site_fract_x
_atom_site_fract_y
_atom_site_fract_z
La1 0.000 0.500 0.000
Mn1 0.000 0.000 0.500
Zn1 0.500 0.500 0.500
N1 0.000 0.000 0.000
```

Output
formation energy (no corrections)	-0.59	eV/atom